# Li7Y3Hg4

An optimized crystal structure of Li7Y3Hg4 (GGA-PBE, the Alexandria database).

Output
Formation energy ... -366 kJ/mol of formula units

Unit cell a=16.2165 b=4.8171 c=9.0317 alpha=90.00 beta=123.82 gamma=90.00
Space group C2/m (No. 12)
Asymmetric unit:
Li 0.0000 0.0000 0.0000 (multiplicity 2)
Li 0.0063 0.5000 0.8352 (multiplicity 4)
Li 0.1433 0.0000 0.3428 (multiplicity 4)
Li 0.1576 0.5000 0.8051 (multiplicity 4)
Y 0.0000 0.0000 0.5000 (multiplicity 2)
Y 0.2246 0.5000 0.2242 (multiplicity 4)
Hg 0.1384 0.0000 0.9355 (multiplicity 4)
Hg 0.1492 0.5000 0.5021 (multiplicity 4)

---

# LiY2Hg2

An optimized crystal structure of LiY2Hg2 (GGA-PBE, the Alexandria database).

Output
Offset from the most stable computed form ... 0.000 eV per atom
Formation energy ... -183 kJ/mol of formula units

Unit cell a=8.0995 b=8.0995 c=3.9855 alpha=90.00 beta=90.00 gamma=90.00
Space group P4/mbm (No. 127)
Asymmetric unit:
Li 0.0000 0.0000 0.0000 (multiplicity 2)
Y 0.1600 0.3400 0.5000 (multiplicity 4)
Hg 0.1402 0.6402 0.0000 (multiplicity 4)